The following is a PBE+U calculation of a geometry-optimized Rb2SiWF structure, from Alexandria via LeMat-Bulk.

Unit cell a=7.072 b=7.072 c=4.258 alpha=90.00 beta=90.00 gamma=90.00
Space group P4/mmm (No. 123)
Inequivalent atoms, fractional coordinates:
Rb 0.000 0.500 0.000 [2 per cell]
Si 0.000 0.000 0.500 [1 per cell]
W 0.500 0.500 0.000 [1 per cell]
F 0.500 0.500 0.500 [1 per cell]

- volume (Å³ per cell) = 213.0
- magnetic moment (μB per formula unit) = 6.14
- crystal system = tetragonal
- raw total energy (eV/atom) = -3.010